Ca2NiTeO6 | PBE with a Hubbard U | relaxed

The structure belongs to space group P2_1/c (No. 14); the cell edges are 5.4741, 5.6293 and 9.4866 Å and the angles 90.00°, 124.81° and 90.00°. The asymmetric unit holds Ca at (0.2337, 0.0536, 0.2478), Ni at (0.0000, 0.0000, 0.5000), Te at (0.5000, 0.0000, 0.0000), O at (0.1650, 0.1937, 0.9535), O at (0.2572, 0.7151, 0.9472) and O at (0.3553, 0.0334, 0.7592).

Its total energy is -5.912 eV/atom. The value obtained for the density is 5.01 Mg/m³.

---

Ca2TlNiO4 | PBE with a Hubbard U | relaxed

The structure belongs to space group Imma (No. 74); the cell edges are 6.7258, 6.8411 and 9.5062 Å and the angles 90.00°, 90.00° and 90.00°. The asymmetric unit holds Ca at (0.0000, 0.0000, 0.0000), Ca at (0.2500, 0.2500, 0.2500), Tl at (0.2500, 0.2500, 0.7500), Ni at (0.0000, 0.0000, 0.5000), O at (0.0000, 0.0154, 0.2652) and O at (0.2401, 0.2500, 0.4934).

Its total energy is -5.304 eV/atom. The value obtained for the density is 6.18 Mg/m³.

---

Ca2TlNiO5 | PBE with a Hubbard U | relaxed

The structure belongs to space group Cmc2_1 (No. 36); the cell edges are 3.3162, 12.8255 and 11.7559 Å and the angles 90.00°, 90.00° and 90.00°. The asymmetric unit holds Ca at (0.0000, 0.0711, 0.0000), Ca at (0.0000, 0.1623, 0.6063), Tl at (0.0000, 0.4467, 0.7794), Ni at (0.0000, 0.2497, 0.3746), O at (0.0000, 0.0951, 0.3992), O at (0.0000, 0.2483, 0.0020), O at (0.0000, 0.2697, 0.7646), O at (0.0000, 0.3953, 0.3704) and O at (0.0000, 0.4811, 0.1136).

Its total energy is -5.328 eV/atom. The value obtained for the density is 5.62 Mg/m³.

---

CaUNi2O6 | PBE with a Hubbard U | relaxed

The structure belongs to space group R3 (No. 146, hexagonal axes); the cell edges are 5.4281, 5.4281 and 14.7227 Å and the angles 90.00°, 90.00° and 120.00°. The asymmetric unit holds Ca at (0.0000, 0.0000, 0.0000), U at (0.0000, 0.0000, 0.5124), Ni at (0.0000, 0.0000, 0.2048), Ni at (0.0000, 0.0000, 0.7150), O at (0.0186, 0.3420, 0.7808) and O at (0.0657, 0.7069, 0.2729).

Its total energy is -7.104 eV/atom. The value obtained for the density is 6.52 Mg/m³.

---

Ca3V3Ni2O12 | PBE with a Hubbard U | relaxed

The structure belongs to space group Ia-3d (No. 230); the cell edges are 12.5379, 12.5379 and 12.5379 Å and the angles 90.00°, 90.00° and 90.00°. The asymmetric unit holds Ca at (0.0000, 0.2500, 0.1250), V at (0.0000, 0.2500, 0.3750), Ni at (0.0000, 0.0000, 0.0000) and O at (0.0348, 0.0526, 0.6543).

Its total energy is -6.838 eV/atom. The value obtained for the density is 3.93 Mg/m³.

---

CaV2NiO8 | PBE with a Hubbard U | relaxed

The structure belongs to space group P-3m1 (No. 164); the cell edges are 5.6826, 5.6826 and 5.8562 Å and the angles 90.00°, 90.00° and 120.00°. The asymmetric unit holds Ca at (0.0000, 0.0000, 0.0000), V at (0.3333, 0.6667, 0.6091), Ni at (0.0000, 0.0000, 0.5000), O at (0.1578, 0.3155, 0.6978) and O at (0.3333, 0.6667, 0.3312).

Its total energy is -6.545 eV/atom. The value obtained for the density is 3.33 Mg/m³.

---

CaNiWO6 | PBE with a Hubbard U | relaxed

The structure belongs to space group Pc (No. 7); the cell edges are 5.3551, 5.7257 and 9.4278 Å and the angles 90.00°, 124.46° and 90.00°. The asymmetric unit holds Ca at (0.0000, 0.1766, 0.0000), Ni at (0.7340, 0.2481, 0.2492), W at (0.2201, 0.2967, 0.7407), O at (0.0394, 0.0111, 0.2714), O at (0.3775, 0.4402, 0.2067), O at (0.4894, 0.0516, 0.7336), O at (0.5460, 0.2564, 0.9875), O at (0.9381, 0.2340, 0.5060) and O at (0.9709, 0.4474, 0.7917).

For the energy above the most stable polymorph in this dataset, the calculation gives 0.00 eV per formula unit. The value obtained for the density is 5.28 Mg/m³.

---

CaNiWO6 | PBE with a Hubbard U | relaxed

The structure belongs to space group Pnn2 (No. 34); the cell edges are 5.0786, 5.6706 and 9.9732 Å and the angles 90.00°, 90.00° and 90.00°. The asymmetric unit holds Ca at (0.0000, 0.0000, 0.0000), Ni at (0.0000, 0.0000, 0.6666), W at (0.0000, 0.5000, 0.1824), O at (0.2342, 0.1079, 0.8080), O at (0.2412, 0.6524, 0.0546) and O at (0.2489, 0.2435, 0.1559).

For the energy above the most stable polymorph in this dataset, the calculation gives 0.97 eV per formula unit. The value obtained for the density is 4.38 Mg/m³.

---

Ca2YNiO5 | PBE with a Hubbard U | relaxed

The structure belongs to space group Ima2 (No. 46); the cell edges are 16.7308, 5.6551 and 5.0117 Å and the angles 90.00°, 90.00° and 90.00°. The asymmetric unit holds Ca at (0.0979, 0.0295, 0.0000), Y at (0.2500, 0.5393, 0.0084), Ni at (0.0000, 0.0000, 0.4986), O at (0.0165, 0.7496, 0.2490), O at (0.1271, 0.0656, 0.4967) and O at (0.2500, 0.5712, 0.4926).

Its total energy is -6.606 eV/atom. The value obtained for the density is 4.31 Mg/m³.

---

Ca2ZnNiO4 | PBE with a Hubbard U | relaxed

The structure belongs to space group P2/m (No. 10); the cell edges are 5.4648, 3.2456 and 5.6373 Å and the angles 90.00°, 110.24° and 90.00°. The asymmetric unit holds Ca at (0.0000, 0.0000, 0.0000), Ca at (0.0000, 0.5000, 0.5000), Zn at (0.5000, 0.0000, 0.5000), Ni at (0.5000, 0.5000, 0.0000), O at (0.2734, 0.0000, 0.7613) and O at (0.2726, 0.5000, 0.2552).

Its total energy is -5.485 eV/atom. The value obtained for the density is 4.75 Mg/m³.